(1)
# ZnTeP2S, single point on PBEsol structure, DFT SCAN
data_ZnTeP2S
_chemical_formula_sum 'Zn1 Te1 P2 S1'
_space_group_name_H-M_alt 'P 4/m m m'
_space_group_IT_number 123
_space_group_name_Hall '-P 4 2'
_cell_length_a 4.653
_cell_length_b 4.653
_cell_length_c 4.479
_cell_angle_alpha 90.00
_cell_angle_beta 90.00
_cell_angle_gamma 90.00
loop_
_atom_site_label
_atom_site_type_symbol
_atom_site_fract_x
_atom_site_fract_y
_atom_site_fract_z
Zn1 Zn 0.000 0.000 0.000
Te1 Te 0.500 0.500 0.500
P1 P 0.000 0.500 0.000
S1 S 0.000 0.000 0.500
# E_form (uncorrected) ... 805 meV per atom
# Final energy ... -15.43 eV per atom

=====

(2)
# HfCr3P, single point on PBEsol structure, DFT SCAN
data_HfCr3P
_chemical_formula_sum 'Hf1 Cr3 P1'
_space_group_name_H-M_alt 'P m -3 m'
_space_group_IT_number 221
_space_group_name_Hall '-P 4 2 3'
_cell_length_a 4.638
_cell_length_b 4.638
_cell_length_c 4.638
_cell_angle_alpha 90.00
_cell_angle_beta 90.00
_cell_angle_gamma 90.00
loop_
_atom_site_label
_atom_site_type_symbol
_atom_site_fract_x
_atom_site_fract_y
_atom_site_fract_z
Hf1 Hf 0.000 0.000 0.000
Cr1 Cr 0.000 0.000 0.500
P1 P 0.500 0.500 0.500
# Final energy ... -23.90 eV per atom
# Calculated formation energy ... 1.7487 eV/atom

=====

Repeat the first record exactly.
# ZnTeP2S, single point on PBEsol structure, DFT SCAN
data_ZnTeP2S
_chemical_formula_sum 'Zn1 Te1 P2 S1'
_space_group_name_H-M_alt 'P 4/m m m'
_space_group_IT_number 123
_space_group_name_Hall '-P 4 2'
_cell_length_a 4.653
_cell_length_b 4.653
_cell_length_c 4.479
_cell_angle_alpha 90.00
_cell_angle_beta 90.00
_cell_angle_gamma 90.00
loop_
_atom_site_label
_atom_site_type_symbol
_atom_site_fract_x
_atom_site_fract_y
_atom_site_fract_z
Zn1 Zn 0.000 0.000 0.000
Te1 Te 0.500 0.500 0.500
P1 P 0.000 0.500 0.000
S1 S 0.000 0.000 0.500
# E_form (uncorrected) ... 805 meV per atom
# Final energy ... -15.43 eV per atom

=====

Q: The highest final energy belongs to which entry?
A: ZnTeP2S

=====

Q: Among the records above, which one has the lowest final energy?
A: HfCr3P

=====

Please write out number 2 again, unchanged.
# HfCr3P, single point on PBEsol structure, DFT SCAN
data_HfCr3P
_chemical_formula_sum 'Hf1 Cr3 P1'
_space_group_name_H-M_alt 'P m -3 m'
_space_group_IT_number 221
_space_group_name_Hall '-P 4 2 3'
_cell_length_a 4.638
_cell_length_b 4.638
_cell_length_c 4.638
_cell_angle_alpha 90.00
_cell_angle_beta 90.00
_cell_angle_gamma 90.00
loop_
_atom_site_label
_atom_site_type_symbol
_atom_site_fract_x
_atom_site_fract_y
_atom_site_fract_z
Hf1 Hf 0.000 0.000 0.000
Cr1 Cr 0.000 0.000 0.500
P1 P 0.500 0.500 0.500
# Final energy ... -23.90 eV per atom
# Calculated formation energy ... 1.7487 eV/atom